# 1
Entry from the Alexandria database: a relaxed structure of Ba8As3P2 (PBE).

Formation energy from the elements   -12.147 eV per formula unit
Symmetry   P2/m (10)
Uncorrected energy   -52.30 eV for the cell shown
Magnetization   0.63 μB per formula unit
ρ   3.66 g/cm³

a = 4.8277 Å, b = 16.2185 Å, c = 15.9602 Å
α = 149.78°, β = 90.00°, γ = 90.00°
Closest atoms and distances in Å follow each position.
Sites, in units of the cell vectors:
P: 0.5000 0.2557 0.4969  6 Ba 3.14-3.46
Ba: 0.5000 0.8979 0.2540  1 P 3.14, 2 As 3.21
As: 0.0000 0.2614 0.9900  6 Ba 3.21-3.41
Ba: 0.0000 0.6509 0.3050  2 P 3.14, 1 As 3.21
As: 0.0000 0.7386 0.0100  6 Ba 3.21-3.41
Ba: 0.5000 0.1021 0.7460  1 P 3.14, 2 As 3.21
As: 0.5000 0.0000 0.0000  6 Ba 3.31-3.37
Ba: 0.0000 0.8950 0.7705  3 As 3.37-3.41, 2 P 3.46
Ba: 0.5000 0.6517 0.8002  3 As 3.30-3.31, 1 P 3.31
Ba: 0.0000 0.1050 0.2295  3 As 3.37-3.41, 2 P 3.46
Ba: 0.5000 0.3483 0.1998  3 As 3.30-3.31, 1 P 3.31
Ba: 0.0000 0.3491 0.6950  2 P 3.14, 1 As 3.21
P: 0.5000 0.7443 0.5031  6 Ba 3.14-3.46

# 2
Entry from the Alexandria database: a relaxed structure of Ba4As2P (PBE).

Formation energy from the elements   -7.095 eV per formula unit
Symmetry   I-42d (122)
Uncorrected energy   -58.99 eV for the cell shown
Magnetization   0.00 μB per formula unit
ρ   4.86 g/cm³

a = 8.6543 Å, b = 8.6535 Å, c = 8.6525 Å
α = 109.65°, β = 109.66°, γ = 109.11°
Closest atoms and distances in Å follow each position.
Sites, in units of the cell vectors:
Ba: 0.6300 0.8785 0.6169  2 P 3.26-3.62, 4 As 3.30-3.64
Ba: 0.9871 0.3697 0.2482  2 P 3.26-3.63, 4 As 3.30-3.65
As: 0.4990 0.1250 0.8740  8 Ba 3.30-3.64
As: 0.8750 0.7490 0.3739  8 Ba 3.30-3.65
P: 0.9997 0.9997 0.9999  8 Ba 3.26-3.63
Ba: 0.1198 0.2370 0.7483  2 P 3.26-3.63, 4 As 3.30-3.64
Ba: 0.6284 0.8801 0.1170  2 P 3.26-3.63, 4 As 3.30-3.64
Ba: 0.2614 0.0131 0.3830  2 P 3.26-3.63, 4 As 3.30-3.64
Ba: 0.7631 0.5116 0.8831  2 P 3.26-3.62, 4 As 3.30-3.64
As: 0.3750 0.5011 0.6260  8 Ba 3.30-3.64
As: 0.2511 0.6251 0.1261  8 Ba 3.30-3.65
Ba: 0.1215 0.7388 0.7517  2 P 3.26-3.63, 4 As 3.30-3.64
Ba: 0.4889 0.3715 0.2518  2 P 3.26-3.63, 4 As 3.30-3.65
P: 0.7498 0.2498 0.5001  8 Ba 3.26-3.63

# 3
Entry from the Alexandria database: a relaxed structure of BaAs3P (PBE).

Formation energy from the elements   -0.379 eV per formula unit
Symmetry   Pm-3m (221)
Uncorrected energy   -21.66 eV for the cell shown
Energy relative to the lowest polymorph listed for this composition   1.43 eV/f.u.
Magnetization   0.00 μB per formula unit
ρ   5.21 g/cm³

a = 5.0036 Å, b = 5.0036 Å, c = 5.0036 Å
α = 90.00°, β = 90.00°, γ = 90.00°
Closest atoms and distances in Å follow each position.
Sites, in units of the cell vectors:
As: 0.0000 0.5000 0.0000  2 P 2.50
As: 0.0000 0.0000 0.5000  2 P 2.50
P: 0.0000 0.0000 0.0000  6 As 2.50
Ba: 0.5000 0.5000 0.5000  12 As 3.54
As: 0.5000 0.0000 0.0000  2 P 2.50